Record 1
Entry from the Alexandria database: crystalline LiBH4O4 at its relaxed geometry (GGA-PBEsol).

## Properties
The value obtained for the total energy is -0.437 Ry/atom. For the density of states at the Fermi level, the calculation gives 0.000 states/eV/f.u.

abc: 7.6029 8.3769 9.1549
angles: 90.00 90.00 90.00
With the nearest neighbours (Å) after each atom.
Fractional positions:
Li 0.1230 0.1249 0.1971  4 O 1.92-2.03
Li 0.1230 0.3751 0.6971  4 O 1.92-2.03
Li 0.3770 0.6249 0.1971  4 O 1.92-2.03
Li 0.3770 0.8751 0.6971  4 O 1.92-2.03
Li 0.6230 0.1249 0.3029  4 O 1.92-2.03
Li 0.6230 0.3751 0.8029  4 O 1.92-2.03
Li 0.8770 0.6249 0.3029  4 O 1.92-2.03
Li 0.8770 0.8751 0.8029  4 O 1.92-2.03
B 0.1740 0.6572 0.9104  4 O 1.46-1.50
B 0.1740 0.8428 0.4104  4 O 1.46-1.50
B 0.3260 0.1572 0.9104  4 O 1.46-1.50
B 0.3260 0.3428 0.4104  4 O 1.46-1.50
B 0.6740 0.6572 0.5896  4 O 1.46-1.50
B 0.6740 0.8428 0.0896  4 O 1.46-1.50
B 0.8260 0.1572 0.5896  4 O 1.46-1.50
B 0.8260 0.3428 0.0896  4 O 1.46-1.50
H 0.0231 0.1170 0.7471  1 O 1.02
H 0.0231 0.3830 0.2471  1 O 1.02
H 0.0667 0.2122 0.9289  1 O 1.02
H 0.0667 0.2878 0.4289  1 O 1.02
H 0.1051 0.5208 0.0888  1 O 1.01
H 0.1051 0.9792 0.5888  1 O 1.01
H 0.1513 0.6062 0.4756  1 O 1.00
H 0.1513 0.8938 0.9756  1 O 1.00
H 0.3487 0.1062 0.4756  1 O 1.00
H 0.3487 0.3938 0.9756  1 O 1.00
H 0.3949 0.0208 0.0888  1 O 1.01
H 0.3949 0.4792 0.5888  1 O 1.01
H 0.4333 0.7122 0.9289  1 O 1.02
H 0.4333 0.7878 0.4289  1 O 1.02
H 0.4769 0.6170 0.7471  1 O 1.02
H 0.4769 0.8830 0.2471  1 O 1.02
H 0.5231 0.1170 0.7529  1 O 1.02
H 0.5231 0.3830 0.2529  1 O 1.02
H 0.5667 0.2122 0.5711  1 O 1.02
H 0.5667 0.2878 0.0711  1 O 1.02
H 0.6051 0.5208 0.4112  1 O 1.01
H 0.6051 0.9792 0.9112  1 O 1.01
H 0.6513 0.6062 0.0244  1 O 1.00
H 0.6513 0.8938 0.5244  1 O 1.00
H 0.8487 0.1062 0.0244  1 O 1.00
H 0.8487 0.3938 0.5244  1 O 1.00
H 0.8949 0.0208 0.4112  1 O 1.01
H 0.8949 0.4792 0.9112  1 O 1.01
H 0.9333 0.7122 0.5711  1 O 1.02
H 0.9333 0.7878 0.0711  1 O 1.02
H 0.9769 0.6170 0.7529  1 O 1.02
H 0.9769 0.8830 0.2529  1 O 1.02
O 0.0649 0.5567 0.8160  1 H 1.02
O 0.0649 0.9433 0.3160  1 H 1.02
O 0.0714 0.6935 0.4412  1 H 1.00
O 0.0714 0.8065 0.9412  1 H 1.00
O 0.1557 0.2054 0.8455  1 H 1.02
O 0.1557 0.2946 0.3455  1 H 1.02
O 0.2157 0.5649 0.0436  1 H 1.01
O 0.2157 0.9351 0.5436  1 H 1.01
O 0.2843 0.0649 0.0436  1 H 1.01
O 0.2843 0.4351 0.5436  1 H 1.01
O 0.3443 0.7054 0.8455  1 H 1.02
O 0.3443 0.7946 0.3455  1 H 1.02
O 0.4286 0.1935 0.4412  1 H 1.00
O 0.4286 0.3065 0.9412  1 H 1.00
O 0.4351 0.0567 0.8160  1 H 1.02
O 0.4351 0.4433 0.3160  1 H 1.02
O 0.5649 0.5567 0.6840  1 H 1.02
O 0.5649 0.9433 0.1840  1 H 1.02
O 0.5714 0.6935 0.0588  1 H 1.00
O 0.5714 0.8065 0.5588  1 H 1.00
O 0.6557 0.2054 0.6545  1 H 1.02
O 0.6557 0.2946 0.1545  1 H 1.02
O 0.7157 0.5649 0.4564  1 H 1.01
O 0.7157 0.9351 0.9564  1 H 1.01
O 0.7843 0.0649 0.4564  1 H 1.01
O 0.7843 0.4351 0.9564  1 H 1.01
O 0.8443 0.7054 0.6545  1 H 1.02
O 0.8443 0.7946 0.1545  1 H 1.02
O 0.9286 0.1935 0.0588  1 H 1.00
O 0.9286 0.3065 0.5588  1 H 1.00
O 0.9351 0.0567 0.6840  1 H 1.02
O 0.9351 0.4433 0.1840  1 H 1.02

Record 2
Entry from the Alexandria database: crystalline TiOsC2 at its relaxed geometry (GGA-PBEsol).

## Properties
The formation energy is 448 meV/atom. For the density of states at the Fermi level, the calculation gives 1.063 states/eV/f.u. Its offset from the most stable computed form is 167 meV per atom.

abc: 3.7506 3.7506 3.7506
angles: 60.00 60.00 60.00
With the nearest neighbours (Å) after each atom.
Fractional positions:
Ti 0.0000 0.0000 0.0000  8 C 2.30
Os 0.5000 0.5000 0.5000  8 C 2.30
C 0.2500 0.2500 0.2500  4 Os 2.30, 4 Ti 2.30
C 0.7500 0.7500 0.7500  4 Os 2.30, 4 Ti 2.30

Record 3
Entry from the Alexandria database: crystalline Y2W2Se at its relaxed geometry (GGA-PBEsol).

## Properties
The value obtained for the energy relative to the elements, uncorrected is -18.5 kJ/mol of atoms. For the density of states at the Fermi level, the calculation gives 2.695 states/eV/f.u.

abc: 8.8838 8.8838 8.8838
angles: 156.42 156.42 33.58
With the nearest neighbours (Å) after each atom.
Fractional positions:
Y 0.1041 0.1041 0.0000  4 W 3.07, 4 Se 3.12
Y 0.8959 0.8959 0.0000  4 W 3.07, 4 Se 3.12
W 0.2500 0.7500 0.5000  4 W 2.57
W 0.7500 0.2500 0.5000  4 W 2.57
Se 0.5000 0.5000 0.0000  8 Y 3.12

Record 4
Entry from the Alexandria database: crystalline LiLa2 at its relaxed geometry (GGA-PBEsol).

## Properties
The formation energy is 75 meV/atom. For the density of states at the Fermi level, the calculation gives 3.484 states/eV/f.u. Its offset from the most stable computed form is 9 meV per atom.

abc: 7.0486 7.0486 7.0486
angles: 149.99 149.99 42.95
With the nearest neighbours (Å) after each atom.
Fractional positions:
Li 0.0000 0.0000 0.0000  8 La 3.33, 4 Li 3.65
La 0.3391 0.3391 0.0000  4 Li 3.33, 8 La 3.48-3.65
La 0.6609 0.6609 0.0000  4 Li 3.33, 8 La 3.48-3.65

Record 5
Entry from the Alexandria database: crystalline AlOs at its relaxed geometry (GGA-PBEsol).

## Properties
The formation energy is -330 meV/atom. For the density of states at the Fermi level, the calculation gives 1.114 states/eV/f.u.

abc: 4.8881 4.8881 4.4193
angles: 108.57 108.57 33.84
With the nearest neighbours (Å) after each atom.
Fractional positions:
Al 0.1130 0.1130 0.3086  7 Os 2.59-2.68, 3 Al 2.84-2.85
Al 0.8870 0.8870 0.6914  7 Os 2.59-2.68, 3 Al 2.84-2.85
Os 0.3654 0.3654 0.1886  7 Al 2.59-2.68, 4 Os 2.66-2.85
Os 0.6345 0.6345 0.8114  7 Al 2.59-2.68, 4 Os 2.66-2.85

Record 6
Entry from the Alexandria database: crystalline MgRe2Se at its relaxed geometry (GGA-PBEsol).

## Properties
The value obtained for the energy relative to the elements, uncorrected is 49.4 kJ/mol of atoms. For the density of states at the Fermi level, the calculation gives 2.697 states/eV/f.u. Its offset from the most stable computed form is 9 meV per atom.

abc: 3.1045 4.3062 4.7331
angles: 90.00 90.00 90.00
With the nearest neighbours (Å) after each atom.
Fractional positions:
Mg 0.0000 0.0000 0.0000  4 Se 2.65, 4 Re 2.83
Re 0.0000 0.5000 0.5000  4 Re 2.65, 4 Se 2.83
Re 0.5000 0.0000 0.5000  4 Re 2.65, 4 Mg 2.83
Se 0.5000 0.5000 0.0000  4 Mg 2.65, 4 Re 2.83

Record 7
Entry from the Alexandria database: crystalline KIr2Rh at its relaxed geometry (GGA-PBEsol).

## Properties
The formation energy is 874 meV/atom. For the density of states at the Fermi level, the calculation gives 8.515 states/eV/f.u. Its offset from the most stable computed form is 187 meV per atom.

abc: 2.6693 4.5052 6.3300
angles: 90.00 100.37 90.00
With the nearest neighbours (Å) after each atom.
Fractional positions:
K 0.0000 0.0000 0.0000  2 K 2.67
Ir 0.3114 0.5000 0.6739  4 Ir 2.51-2.67, 2 Rh 2.60
Ir 0.6886 0.5000 0.3261  4 Ir 2.51-2.67, 2 Rh 2.60
Rh 0.5000 0.0000 0.5000  4 Ir 2.60, 2 Rh 2.67

Record 8
Entry from the Alexandria database: crystalline Hf3GeSe at its relaxed geometry (GGA-PBEsol).

## Properties
The value obtained for the energy relative to the elements, uncorrected is 27.5 kJ/mol of atoms. For the density of states at the Fermi level, the calculation gives 4.944 states/eV/f.u. Its offset from the most stable computed form is 0 meV per atom.

abc: 4.8440 4.8440 4.8440
angles: 90.00 90.00 90.00
With the nearest neighbours (Å) after each atom.
Fractional positions:
Hf 0.0000 0.0000 0.5000  2 Se 2.42
Hf 0.0000 0.5000 0.0000  2 Se 2.42
Hf 0.5000 0.0000 0.0000  2 Se 2.42
Ge 0.5000 0.5000 0.5000  12 Hf 3.43
Se 0.0000 0.0000 0.0000  6 Hf 2.42

Record 9
Entry from the Alexandria database: crystalline CoAs at its relaxed geometry (GGA-PBEsol).

## Properties
The formation energy is -335 meV/atom. For the density of states at the Fermi level, the calculation gives 1.165 states/eV/f.u.

abc: 3.5128 3.5128 4.9471
angles: 90.00 90.00 120.00
With the nearest neighbours (Å) after each atom.
Fractional positions:
Co 0.0000 0.0000 0.0000  6 As 2.38, 2 Co 2.47
Co 0.0000 0.0000 0.5000  6 As 2.38, 2 Co 2.47
As 0.3333 0.6667 0.2500  6 Co 2.38
As 0.6667 0.3333 0.7500  6 Co 2.38

Record 10
Entry from the Alexandria database: crystalline ZrBeSb at its relaxed geometry (GGA-PBEsol).

## Properties
The value obtained for the energy relative to the elements, uncorrected is 38.7 kJ/mol of atoms. For the density of states at the Fermi level, the calculation gives 2.333 states/eV/f.u.

abc: 4.5511 4.5511 4.5511
angles: 60.00 60.00 60.00
With the nearest neighbours (Å) after each atom.
Fractional positions:
Zr 0.0000 0.0000 0.0000  4 Be 2.79, 4 Sb 2.79
Be 0.7500 0.7500 0.7500  4 Zr 2.79
Sb 0.2500 0.2500 0.2500  4 Zr 2.79

Record 11
Entry from the Alexandria database: crystalline AlZnFe2 at its relaxed geometry (GGA-PBEsol).

## Properties
The formation energy is -112 meV/atom. For the density of states at the Fermi level, the calculation gives 2.564 states/eV/f.u.

abc: 4.4572 4.4572 2.5834
angles: 90.00 90.00 109.68
With the nearest neighbours (Å) after each atom.
Fractional positions:
Al 0.0000 0.0000 0.0000  2 Zn 2.57, 8 Fe 2.58, 2 Al 2.58
Zn 0.5000 0.5000 0.0000  2 Al 2.57, 8 Fe 2.58, 2 Zn 2.58
Fe 0.0000 0.5000 0.5000  4 Fe 2.57-2.58, 4 Al 2.58, 4 Zn 2.58
Fe 0.5000 0.0000 0.5000  4 Fe 2.57-2.58, 4 Al 2.58, 4 Zn 2.58

Record 12
Entry from the Alexandria database: crystalline LiSc2Os at its relaxed geometry (GGA-PBEsol).

## Properties
The formation energy is -64 meV/atom. For the density of states at the Fermi level, the calculation gives 3.097 states/eV/f.u. Its offset from the most stable computed form is 248 meV per atom.

abc: 5.5637 5.5637 5.5637
angles: 146.00 131.93 60.18
With the nearest neighbours (Å) after each atom.
Fractional positions:
Li 0.0000 0.0000 0.0000  2 Os 2.62, 4 Sc 2.87
Sc 0.4302 0.4302 0.0000  2 Os 2.64, 4 Li 2.87
Sc 0.7208 0.2208 0.5000  4 Os 2.79, 2 Sc 3.03, 2 Li 3.11
Os 0.2139 0.7139 0.5000  2 Li 2.62, 6 Sc 2.64-2.79